Record 1
# BaHoCdGa (PBE-GGA, optimized geometry)
data_BaHoCdGa
_chemical_formula_sum 'Ba4 Ho4 Cd4 Ga4'
_cell_length_a 7.827
_cell_length_b 7.827
_cell_length_c 7.827
_cell_angle_alpha 90.00
_cell_angle_beta 90.00
_cell_angle_gamma 90.00
_space_group_name_H-M_alt 'F -4 3 m'
_space_group_IT_number 216
_space_group_name_Hall 'F -4 2 3'
loop_
_atom_site_label
_atom_site_type_symbol
_atom_site_fract_x
_atom_site_fract_y
_atom_site_fract_z
_atom_site_occupancy
Ba1 Ba 0.000 0.000 0.000 1
Ho1 Ho 0.000 0.000 0.500 1
Cd1 Cd 0.250 0.250 0.750 1
Ga1 Ga 0.250 0.250 0.250 1
# D(E_F): 3.29 states/eV/f.u.
# crystal system: cubic
# energy of formation: -0.23 eV/atom
# E: -11.343 eV/f.u.

Record 2
# BaCd2GaI (PBE-GGA, optimized geometry)
data_BaCd2GaI
_chemical_formula_sum 'Ba1 Cd2 Ga1 I1'
_cell_length_a 6.026
_cell_length_b 6.026
_cell_length_c 5.943
_cell_angle_alpha 90.00
_cell_angle_beta 90.00
_cell_angle_gamma 90.00
_space_group_name_H-M_alt 'P 4/m m m'
_space_group_IT_number 123
_space_group_name_Hall '-P 4 2'
loop_
_atom_site_label
_atom_site_type_symbol
_atom_site_fract_x
_atom_site_fract_y
_atom_site_fract_z
_atom_site_occupancy
Ba1 Ba 0.000 0.000 0.000 1
Cd1 Cd 0.000 0.500 0.500 1
Ga1 Ga 0.500 0.500 0.000 1
I1 I 0.500 0.500 0.500 1
# energy relative to the elements, uncorrected: 1.156 eV per formula unit
# D(E_F): 4.69 states/eV/f.u.
# crystal system: tetragonal
# E: -7.174 eV/f.u.

Record 3
# Ba2Cd3In4Ga (PBE-GGA, optimized geometry)
data_Ba2Cd3In4Ga
_chemical_formula_sum 'Ba2 Cd3 In4 Ga1'
_cell_length_a 4.905
_cell_length_b 4.905
_cell_length_c 12.171
_cell_angle_alpha 90.00
_cell_angle_beta 90.00
_cell_angle_gamma 90.00
_space_group_name_H-M_alt 'P -4 m 2'
_space_group_IT_number 115
loop_
_space_group_symop_operation_xyz
'x,y,z'
'y,-x,-z'
'-x,-y,z'
'-y,x,-z'
'-x,y,z'
'-y,-x,-z'
'x,-y,z'
'y,x,-z'
loop_
_atom_site_label
_atom_site_type_symbol
_atom_site_fract_x
_atom_site_fract_y
_atom_site_fract_z
_atom_site_occupancy
Ba1 Ba 0.000 0.500 0.241 1
Cd1 Cd 0.000 0.000 0.000 1
Cd2 Cd 0.000 0.500 0.639 1
In1 In 0.000 0.000 0.500 1
In2 In 0.000 0.500 0.873 1
In3 In 0.500 0.500 0.500 1
Ga1 Ga 0.500 0.500 0.000 1
# D(E_F): 4.81 states/eV/f.u.
# crystal system: tetragonal
# energy of formation: -0.34 eV/atom
# E: -23.953 eV/f.u.

Record 4
# BaCd4In2Ga (PBE-GGA, optimized geometry)
data_BaCd4In2Ga
_chemical_formula_sum 'Ba3 Cd12 In6 Ga3'
_cell_length_a 5.0885
_cell_length_b 5.0885
_cell_length_c 29.1394
_cell_angle_alpha 90.00
_cell_angle_beta 90.00
_cell_angle_gamma 120.00
_space_group_name_H-M_alt 'R -3 m'
_space_group_IT_number 166
_space_group_name_Hall '-R 3 2"'
loop_
_atom_site_label
_atom_site_type_symbol
_atom_site_fract_x
_atom_site_fract_y
_atom_site_fract_z
_atom_site_occupancy
Ba1 Ba 0.0000 0.0000 0.0000 1
Cd1 Cd 0.0000 0.0000 0.1355 1
Cd2 Cd 0.0000 0.0000 0.4021 1
In1 In 0.0000 0.0000 0.2472 1
Ga1 Ga 0.0000 0.0000 0.5000 1
# D(E_F): 4.71 states/eV/f.u.
# crystal system: trigonal
# energy of formation: -0.13 eV/atom
# E: -15.099 eV/f.u.

Record 5
# Ba2Cd6InGa (PBE-GGA, optimized geometry)
data_Ba2Cd6InGa
_chemical_formula_sum 'Ba4 Cd12 In2 Ga2'
_cell_length_a 7.917
_cell_length_b 9.751
_cell_length_c 7.821
_cell_angle_alpha 90.00
_cell_angle_beta 90.00
_cell_angle_gamma 90.00
_space_group_name_H-M_alt 'P m m n'
_space_group_IT_number 59
loop_
_space_group_symop_operation_xyz
'x,y,z'
'-x,-y,-z'
'-x+1/2,-y+1/2,z'
'x+1/2,y+1/2,-z'
'x+1/2,-y,-z'
'-x+1/2,y,z'
'-x,y+1/2,-z'
'x,-y+1/2,z'
loop_
_atom_site_label
_atom_site_type_symbol
_atom_site_fract_x
_atom_site_fract_y
_atom_site_fract_z
_atom_site_occupancy
Ba1 Ba 0.250 0.023 0.220 1
Cd1 Cd 0.061 0.250 0.868 1
Cd2 Cd 0.074 0.750 0.524 1
Cd3 Cd 0.250 0.000 0.709 1
In1 In 0.250 0.750 0.911 1
Ga1 Ga 0.250 0.250 0.537 1
# D(E_F): 4.50 states/eV/f.u.
# crystal system: orthorhombic
# energy of formation: -0.20 eV/atom
# E: -17.133 eV/f.u.

Record 6
# Ba2CdIn3Ga4 (PBE-GGA, optimized geometry)
data_Ba2CdIn3Ga4
_chemical_formula_sum 'Ba2 Cd1 In3 Ga4'
_cell_length_a 4.845
_cell_length_b 4.845
_cell_length_c 11.465
_cell_angle_alpha 90.00
_cell_angle_beta 90.00
_cell_angle_gamma 90.00
_space_group_name_H-M_alt 'P -4 m 2'
_space_group_IT_number 115
loop_
_space_group_symop_operation_xyz
'x,y,z'
'y,-x,-z'
'-x,-y,z'
'-y,x,-z'
'-x,y,z'
'-y,-x,-z'
'x,-y,z'
'y,x,-z'
loop_
_atom_site_label
_atom_site_type_symbol
_atom_site_fract_x
_atom_site_fract_y
_atom_site_fract_z
_atom_site_occupancy
Ba1 Ba 0.000 0.500 0.246 1
Cd1 Cd 0.000 0.000 0.500 1
In1 In 0.000 0.500 0.871 1
In2 In 0.500 0.500 0.500 1
Ga1 Ga 0.000 0.000 0.000 1
Ga2 Ga 0.000 0.500 0.632 1
Ga3 Ga 0.500 0.500 0.000 1
# D(E_F): 3.50 states/eV/f.u.
# crystal system: tetragonal
# energy of formation: -0.37 eV/atom
# E: -28.833 eV/f.u.

Record 7
# Ba2Cd3InGa4 (PBE-GGA, optimized geometry)
data_Ba2Cd3InGa4
_chemical_formula_sum 'Ba2 Cd3 In1 Ga4'
_cell_length_a 4.738
_cell_length_b 4.738
_cell_length_c 11.692
_cell_angle_alpha 90.00
_cell_angle_beta 90.00
_cell_angle_gamma 90.00
_space_group_name_H-M_alt 'P -4 m 2'
_space_group_IT_number 115
loop_
_space_group_symop_operation_xyz
'x,y,z'
'y,-x,-z'
'-x,-y,z'
'-y,x,-z'
'-x,y,z'
'-y,-x,-z'
'x,-y,z'
'y,x,-z'
loop_
_atom_site_label
_atom_site_type_symbol
_atom_site_fract_x
_atom_site_fract_y
_atom_site_fract_z
_atom_site_occupancy
Ba1 Ba 0.000 0.500 0.247 1
Cd1 Cd 0.000 0.500 0.871 1
Cd2 Cd 0.500 0.500 0.500 1
In1 In 0.000 0.000 0.500 1
Ga1 Ga 0.000 0.000 0.000 1
Ga2 Ga 0.000 0.500 0.638 1
Ga3 Ga 0.500 0.500 0.000 1
# D(E_F): 4.33 states/eV/f.u.
# crystal system: tetragonal
# energy of formation: -0.35 eV/atom
# E: -24.892 eV/f.u.

Record 8
# BaCdGa2Ir (PBE-GGA, optimized geometry)
data_BaCdGa2Ir
_chemical_formula_sum 'Ba1 Cd1 Ga2 Ir1'
_cell_length_a 4.877
_cell_length_b 4.877
_cell_length_c 5.292
_cell_angle_alpha 90.00
_cell_angle_beta 90.00
_cell_angle_gamma 90.00
_space_group_name_H-M_alt 'P 4/m m m'
_space_group_IT_number 123
_space_group_name_Hall '-P 4 2'
loop_
_atom_site_label
_atom_site_type_symbol
_atom_site_fract_x
_atom_site_fract_y
_atom_site_fract_z
_atom_site_occupancy
Ba1 Ba 0.000 0.000 0.000 1
Cd1 Cd 0.500 0.500 0.000 1
Ga1 Ga 0.000 0.500 0.500 1
Ir1 Ir 0.500 0.500 0.500 1
# D(E_F): 4.05 states/eV/f.u.
# crystal system: tetragonal
# energy of formation: -0.43 eV/atom
# E: -19.879 eV/f.u.

Record 9
# BaCd2GaIr (PBE-GGA, optimized geometry)
data_BaCd2GaIr
_chemical_formula_sum 'Ba1 Cd2 Ga1 Ir1'
_cell_length_a 5.297
_cell_length_b 5.297
_cell_length_c 4.846
_cell_angle_alpha 90.00
_cell_angle_beta 90.00
_cell_angle_gamma 90.00
_space_group_name_H-M_alt 'P 4/m m m'
_space_group_IT_number 123
_space_group_name_Hall '-P 4 2'
loop_
_atom_site_label
_atom_site_type_symbol
_atom_site_fract_x
_atom_site_fract_y
_atom_site_fract_z
_atom_site_occupancy
Ba1 Ba 0.000 0.000 0.000 1
Cd1 Cd 0.000 0.500 0.500 1
Ga1 Ga 0.500 0.500 0.000 1
Ir1 Ir 0.500 0.500 0.500 1
# D(E_F): 2.04 states/eV/f.u.
# crystal system: tetragonal
# energy of formation: -0.33 eV/atom
# E: -17.289 eV/f.u.

Record 10
# BaLaCdGa (PBE-GGA, optimized geometry)
data_BaLaCdGa
_chemical_formula_sum 'Ba4 La4 Cd4 Ga4'
_cell_length_a 8.009
_cell_length_b 8.009
_cell_length_c 8.009
_cell_angle_alpha 90.00
_cell_angle_beta 90.00
_cell_angle_gamma 90.00
_space_group_name_H-M_alt 'F -4 3 m'
_space_group_IT_number 216
_space_group_name_Hall 'F -4 2 3'
loop_
_atom_site_label
_atom_site_type_symbol
_atom_site_fract_x
_atom_site_fract_y
_atom_site_fract_z
_atom_site_occupancy
Ba1 Ba 0.000 0.000 0.000 1
La1 La 0.000 0.000 0.500 1
Cd1 Cd 0.250 0.250 0.250 1
Ga1 Ga 0.250 0.250 0.750 1
# D(E_F): 3.65 states/eV/f.u.
# crystal system: cubic
# energy of formation: -0.30 eV/atom
# E: -12.004 eV/f.u.

Record 11
# BaLiCd2Ga (PBE-GGA, optimized geometry)
data_BaLiCd2Ga
_chemical_formula_sum 'Ba1 Li1 Cd2 Ga1'
_cell_length_a 5.154
_cell_length_b 5.154
_cell_length_c 5.065
_cell_angle_alpha 90.00
_cell_angle_beta 90.00
_cell_angle_gamma 90.00
_space_group_name_H-M_alt 'P 4/m m m'
_space_group_IT_number 123
_space_group_name_Hall '-P 4 2'
loop_
_atom_site_label
_atom_site_type_symbol
_atom_site_fract_x
_atom_site_fract_y
_atom_site_fract_z
_atom_site_occupancy
Ba1 Ba 0.000 0.000 0.000 1
Li1 Li 0.500 0.500 0.500 1
Cd1 Cd 0.000 0.500 0.500 1
Ga1 Ga 0.500 0.500 0.000 1
# energy above the lowest structure with this stoichiometry: 0.000 eV/f.u.
# D(E_F): 2.84 states/eV/f.u.
# crystal system: tetragonal
# energy of formation: -0.16 eV/atom
# E: -9.495 eV/f.u.

Record 12
# Ba2LiCd6Ga (PBE-GGA, optimized geometry)
data_Ba2LiCd6Ga
_chemical_formula_sum 'Ba4 Li2 Cd12 Ga2'
_cell_length_a 10.527
_cell_length_b 10.568
_cell_length_c 7.426
_cell_angle_alpha 90.00
_cell_angle_beta 134.65
_cell_angle_gamma 90.00
_space_group_name_H-M_alt 'C 1 2/m 1'
_space_group_IT_number 12
loop_
_space_group_symop_operation_xyz
'x,y,z'
'-x,-y,-z'
'-x,y,-z'
'x,-y,z'
'x+1/2,y+1/2,z'
'-x+1/2,-y+1/2,-z'
'-x+1/2,y+1/2,-z'
'x+1/2,-y+1/2,z'
loop_
_atom_site_label
_atom_site_type_symbol
_atom_site_fract_x
_atom_site_fract_y
_atom_site_fract_z
_atom_site_occupancy
Ba1 Ba 0.000 0.250 0.000 1
Li1 Li 0.000 0.000 0.500 1
Cd1 Cd 0.000 0.242 0.500 1
Cd2 Cd 0.241 0.000 0.499 1
Cd3 Cd 0.242 0.000 0.984 1
Ga1 Ga 0.000 0.500 0.500 1
# D(E_F): 6.45 states/eV/f.u.
# crystal system: monoclinic
# energy of formation: -0.15 eV/atom
# E: -15.774 eV/f.u.

- The lowest D(E_F) belongs to which entry?
  BaCd2GaIr